Mg4CuAu: optimized geometry, PBE-GGA.

Cell: 6.5878 6.5878 5.3536 Å, 90.00 90.00 90.00°
With the nearest neighbours (Å) after each atom.
Space group I422 (No. 97)
Asymmetric unit:
Mg 0.1663 0.3337 0.2500 x8  2 Cu 2.80, 2 Au 2.80, 3 Mg 3.10
Cu 0.0000 0.0000 0.0000 x2  2 Au 2.68, 8 Mg 2.80
Au 0.0000 0.0000 0.5000 x2  2 Cu 2.68, 8 Mg 2.80

Size of the total moment in μB/cell: 0.00
E_form in eV per atom: -0.2920
Raw total energy in eV for the cell shown: -31.01
Polymorph energy (0 for the lowest one) in meV per atom: 0
Calculated density in g/cm3: 5.1